Entry 1:
# BeRe2Tc (PBE, optimized geometry)
data_BeRe2Tc
_chemical_formula_sum 'Be1 Re2 Tc1'
_space_group_name_H-M_alt 'P 4/m m m'
_space_group_IT_number 123
_space_group_name_Hall '-P 4 2'
_cell_length_a 2.786
_cell_length_b 2.786
_cell_length_c 6.784
_cell_angle_alpha 90.00
_cell_angle_beta 90.00
_cell_angle_gamma 90.00
loop_
_atom_site_label
_atom_site_fract_x
_atom_site_fract_y
_atom_site_fract_z
Be1 0.000 0.000 0.000
Re1 0.500 0.500 0.223
Tc1 0.000 0.000 0.500
# DOS(E_F)   2.7 states/eV/cell
# Total moment   0.0 μB/cell
# Formation energy   0.02 eV per atom
# E_tot   -9.7317 eV per atom


Entry 2:
# LiCaPt2 (PBE, optimized geometry)
data_LiCaPt2
_chemical_formula_sum 'Li2 Ca2 Pt4'
_space_group_name_H-M_alt 'I -4 m 2'
_space_group_IT_number 119
_space_group_name_Hall 'I -4 -2'
_cell_length_a 4.228
_cell_length_b 4.228
_cell_length_c 7.919
_cell_angle_alpha 90.00
_cell_angle_beta 90.00
_cell_angle_gamma 90.00
loop_
_atom_site_label
_atom_site_fract_x
_atom_site_fract_y
_atom_site_fract_z
Li1 0.000 0.000 0.000
Ca1 0.000 0.500 0.750
Pt1 0.000 0.000 0.500
Pt2 0.000 0.500 0.250
# DOS(E_F)   3.6 states/eV/cell
# Excess energy over the best structure of this formula in the dataset   0.0779 eV per atom
# Total moment   0.0 μB/cell
# Formation energy   -0.58 eV per atom
# E_tot   -4.5821 eV per atom


Entry 3:
# LaNiCl (PBE, optimized geometry)
data_LaNiCl
_chemical_formula_sum 'La1 Ni1 Cl1'
_space_group_name_H-M_alt 'P 3 m 1'
_space_group_IT_number 156
_space_group_name_Hall 'P 3 -2"'
_cell_length_a 4.0491
_cell_length_b 4.0491
_cell_length_c 5.9672
_cell_angle_alpha 90.00
_cell_angle_beta 90.00
_cell_angle_gamma 120.00
loop_
_atom_site_label
_atom_site_fract_x
_atom_site_fract_y
_atom_site_fract_z
La1 0.0000 0.0000 0.0000
Ni1 0.6667 0.3333 0.2453
Cl1 0.3333 0.6667 0.6880
# E_form (uncorrected)   -702 meV/atom
# Total moment   0.0 μB/cell
# E_tot   -4.8867 eV per atom


Entry 4:
# YZrAu4 (PBE, optimized geometry)
data_YZrAu4
_chemical_formula_sum 'Y4 Zr4 Au16'
_space_group_name_H-M_alt 'F -4 3 m'
_space_group_IT_number 216
_space_group_name_Hall 'F -4 2 3'
_cell_length_a 7.917
_cell_length_b 7.917
_cell_length_c 7.917
_cell_angle_alpha 90.00
_cell_angle_beta 90.00
_cell_angle_gamma 90.00
loop_
_atom_site_label
_atom_site_fract_x
_atom_site_fract_y
_atom_site_fract_z
Y1 0.000 0.000 0.000
Zr1 0.250 0.250 0.750
Au1 0.125 0.125 0.375
# DOS(E_F)   34.8 states/eV/cell
# Excess energy over the best structure of this formula in the dataset   0.4060 eV per atom
# Total moment   5.6 μB/cell
# Formation energy   -0.31 eV per atom
# E_tot   -4.9926 eV per atom


Entry 5:
# YHoRuAu (PBE, optimized geometry)
data_YHoRuAu
_chemical_formula_sum 'Y4 Ho4 Ru4 Au4'
_space_group_name_H-M_alt 'F -4 3 m'
_space_group_IT_number 216
_space_group_name_Hall 'F -4 2 3'
_cell_length_a 6.994
_cell_length_b 6.994
_cell_length_c 6.994
_cell_angle_alpha 90.00
_cell_angle_beta 90.00
_cell_angle_gamma 90.00
loop_
_atom_site_label
_atom_site_fract_x
_atom_site_fract_y
_atom_site_fract_z
Y1 0.000 0.000 0.000
Ho1 0.000 0.000 0.500
Ru1 0.250 0.250 0.250
Au1 0.250 0.250 0.750
# DOS(E_F)   8.4 states/eV/cell
# Excess energy over the best structure of this formula in the dataset   0.0677 eV per atom
# Total moment   0.0 μB/cell
# Formation energy   -0.59 eV per atom
# E_tot   -6.4840 eV per atom


Entry 6:
# TaPbCl2 (PBE, optimized geometry)
data_TaPbCl2
_chemical_formula_sum 'Ta1 Pb1 Cl2'
_space_group_name_H-M_alt 'P 4/m m m'
_space_group_IT_number 123
_space_group_name_Hall '-P 4 2'
_cell_length_a 4.408
_cell_length_b 4.408
_cell_length_c 4.575
_cell_angle_alpha 90.00
_cell_angle_beta 90.00
_cell_angle_gamma 90.00
loop_
_atom_site_label
_atom_site_fract_x
_atom_site_fract_y
_atom_site_fract_z
Ta1 0.000 0.000 0.000
Pb1 0.500 0.500 0.000
Cl1 0.000 0.500 0.500
# DOS(E_F)   3.4 states/eV/cell
# Excess energy over the best structure of this formula in the dataset   0.9924 eV per atom
# E_form (uncorrected)   504 meV/atom
# Total moment   1.4 μB/cell
# E_tot   -4.3092 eV per atom


Entry 7:
# KFe2H (PBE, optimized geometry)
data_KFe2H
_chemical_formula_sum 'K4 Fe8 H4'
_space_group_name_H-M_alt 'F m -3 m'
_space_group_IT_number 225
_space_group_name_Hall '-F 4 2 3'
_cell_length_a 6.572
_cell_length_b 6.572
_cell_length_c 6.572
_cell_angle_alpha 90.00
_cell_angle_beta 90.00
_cell_angle_gamma 90.00
loop_
_atom_site_label
_atom_site_fract_x
_atom_site_fract_y
_atom_site_fract_z
K1 0.000 0.000 0.000
Fe1 0.250 0.250 0.250
H1 0.000 0.000 0.500
# DOS(E_F)   21.2 states/eV/cell
# Excess energy over the best structure of this formula in the dataset   1.2090 eV per atom
# Total moment   24.9 μB/cell
# E_tot   -3.4710 eV per atom


Entry 8:
# Ac2NpInRh6 (PBE, optimized geometry)
data_Ac2NpInRh6
_chemical_formula_sum 'Ac2 Np1 In1 Rh6'
_space_group_name_H-M_alt 'P -1'
_space_group_IT_number 2
_space_group_name_Hall '-P 1'
_cell_length_a 6.131
_cell_length_b 6.132
_cell_length_c 7.946
_cell_angle_alpha 67.42
_cell_angle_beta 67.33
_cell_angle_gamma 60.20
loop_
_atom_site_label
_atom_site_fract_x
_atom_site_fract_y
_atom_site_fract_z
Ac1 0.239 0.236 0.286
Np1 0.500 0.500 0.500
In1 0.000 0.000 0.000
Rh1 0.253 0.258 0.733
Rh2 0.254 0.741 0.261
Rh3 0.256 0.752 0.736
# DOS(E_F)   7.0 states/eV/cell
# Total moment   1.2 μB/cell
# Formation energy   -0.26 eV per atom
# E_tot   -7.0569 eV per atom


Entry 9:
# Sc5Sn2RuPt2 (PBE, optimized geometry)
data_Sc5Sn2RuPt2
_chemical_formula_sum 'Sc10 Sn4 Ru2 Pt4'
_space_group_name_H-M_alt 'P 4/m b m'
_space_group_IT_number 127
_space_group_name_Hall '-P 4 2ab'
_cell_length_a 11.272
_cell_length_b 11.272
_cell_length_c 3.264
_cell_angle_alpha 90.00
_cell_angle_beta 90.00
_cell_angle_gamma 90.00
loop_
_atom_site_label
_atom_site_fract_x
_atom_site_fract_y
_atom_site_fract_z
Sc1 0.000 0.500 0.000
Sc2 0.062 0.189 0.000
Sn1 0.176 0.676 0.500
Ru1 0.000 0.000 0.500
Pt1 0.134 0.366 0.500
# DOS(E_F)   10.3 states/eV/cell
# Total moment   0.0 μB/cell
# Formation energy   -0.78 eV per atom
# E_tot   -6.8772 eV per atom


Entry 10:
# NdGa2Br8 (PBE, optimized geometry)
data_NdGa2Br8
_chemical_formula_sum 'Nd2 Ga4 Br16'
_space_group_name_H-M_alt 'C 1 2/m 1'
_space_group_IT_number 12
_space_group_name_Hall '-C 2y'
_cell_length_a 13.793
_cell_length_b 9.478
_cell_length_c 6.949
_cell_angle_alpha 90.00
_cell_angle_beta 99.37
_cell_angle_gamma 90.00
loop_
_atom_site_label
_atom_site_fract_x
_atom_site_fract_y
_atom_site_fract_z
Nd1 0.000 0.000 0.000
Ga1 0.194 0.000 0.654
Br1 0.098 0.197 0.769
Br2 0.139 0.500 0.210
Br3 0.181 0.000 0.289
# DOS(E_F)   9.2 states/eV/cell
# E_form (uncorrected)   -1070 meV/atom
# Total moment   0.0 μB/cell
# E_tot   -3.2705 eV per atom


Entry 11:
# Al7ZnGa4 (PBE, optimized geometry)
data_Al7ZnGa4
_chemical_formula_sum 'Al7 Zn1 Ga4'
_space_group_name_H-M_alt 'P -3 m 1'
_space_group_IT_number 164
_space_group_name_Hall '-P 3 2"'
_cell_length_a 3.0009
_cell_length_b 3.0009
_cell_length_c 26.2019
_cell_angle_alpha 90.00
_cell_angle_beta 90.00
_cell_angle_gamma 120.00
loop_
_atom_site_label
_atom_site_fract_x
_atom_site_fract_y
_atom_site_fract_z
Al1 0.0000 0.0000 0.0000
Al2 0.0000 0.0000 0.2531
Al3 0.3333 0.6667 0.1700
Al4 0.3333 0.6667 0.4197
Zn1 0.0000 0.0000 0.5000
Ga1 0.3333 0.6667 0.6635
Ga2 0.3333 0.6667 0.9149
# DOS(E_F)   4.7 states/eV/cell
# Total moment   0.0 μB/cell
# Formation energy   0.05 eV per atom
# E_tot   -3.2501 eV per atom


Entry 12:
# NaTlIn2 (PBE, optimized geometry)
data_NaTlIn2
_chemical_formula_sum 'Na4 Tl4 In8'
_space_group_name_H-M_alt 'F m -3 m'
_space_group_IT_number 225
_space_group_name_Hall '-F 4 2 3'
_cell_length_a 7.632
_cell_length_b 7.632
_cell_length_c 7.632
_cell_angle_alpha 90.00
_cell_angle_beta 90.00
_cell_angle_gamma 90.00
loop_
_atom_site_label
_atom_site_fract_x
_atom_site_fract_y
_atom_site_fract_z
Na1 0.000 0.000 0.000
Tl1 0.000 0.000 0.500
In1 0.250 0.250 0.250
# DOS(E_F)   2.6 states/eV/cell
# Excess energy over the best structure of this formula in the dataset   0.0503 eV per atom
# Total moment   0.0 μB/cell
# Formation energy   -0.02 eV per atom
# E_tot   -2.3135 eV per atom


Entry 13:
# Ac3SmY6 (PBE, optimized geometry)
data_Ac3SmY6
_chemical_formula_sum 'Ac9 Sm3 Y18'
_space_group_name_H-M_alt 'R -3'
_space_group_IT_number 148
_space_group_name_Hall '-R 3'
_cell_length_a 10.1298
_cell_length_b 10.1298
_cell_length_c 12.6461
_cell_angle_alpha 90.00
_cell_angle_beta 90.00
_cell_angle_gamma 120.00
loop_
_atom_site_label
_atom_site_fract_x
_atom_site_fract_y
_atom_site_fract_z
Ac1 0.0000 0.0000 0.0000
Ac2 0.0000 0.0000 0.2582
Sm1 0.0000 0.0000 0.5000
Y1 0.0011 0.3267 0.5759
# DOS(E_F)   72.4 states/eV/cell
# Total moment   0.0 μB/cell
# Formation energy   0.40 eV per atom
# E_tot   -5.1830 eV per atom


Entry 14:
# NaCN2 (PBE, optimized geometry)
data_NaCN2
_chemical_formula_sum 'Na3 C3 N6'
_space_group_name_H-M_alt 'R -3 m'
_space_group_IT_number 166
_space_group_name_Hall '-R 3 2"'
_cell_length_a 3.4749
_cell_length_b 3.4749
_cell_length_c 16.3213
_cell_angle_alpha 90.00
_cell_angle_beta 90.00
_cell_angle_gamma 120.00
loop_
_atom_site_label
_atom_site_fract_x
_atom_site_fract_y
_atom_site_fract_z
Na1 0.0000 0.0000 0.0000
C1 0.0000 0.0000 0.5000
N1 0.0000 0.0000 0.4245
# DOS(E_F)   3.2 states/eV/cell
# E_form (uncorrected)   48 meV/atom
# Total moment   3.0 μB/cell
# E_tot   -6.7507 eV per atom


Entry 15:
# Mg2TaTe (PBE, optimized geometry)
data_Mg2TaTe
_chemical_formula_sum 'Mg2 Ta1 Te1'
_space_group_name_H-M_alt 'P 4 m m'
_space_group_IT_number 99
_space_group_name_Hall 'P 4 -2'
_cell_length_a 3.585
_cell_length_b 3.585
_cell_length_c 6.481
_cell_angle_alpha 90.00
_cell_angle_beta 90.00
_cell_angle_gamma 90.00
loop_
_atom_site_label
_atom_site_fract_x
_atom_site_fract_y
_atom_site_fract_z
Mg1 0.000 0.000 0.000
Mg2 0.500 0.500 0.252
Ta1 0.000 0.000 0.500
Te1 0.500 0.500 0.718
# DOS(E_F)   1.6 states/eV/cell
# E_form (uncorrected)   67 meV/atom
# Total moment   0.0 μB/cell
# E_tot   -4.4786 eV per atom


Entry 16:
# Pu3C (PBE, optimized geometry)
data_Pu3C
_chemical_formula_sum 'Pu6 C2'
_space_group_name_H-M_alt 'I m m 2'
_space_group_IT_number 44
_space_group_name_Hall 'I 2 -2'
_cell_length_a 3.305
_cell_length_b 6.958
_cell_length_c 6.107
_cell_angle_alpha 90.00
_cell_angle_beta 90.00
_cell_angle_gamma 90.00
loop_
_atom_site_label
_atom_site_fract_x
_atom_site_fract_y
_atom_site_fract_z
Pu1 0.000 0.000 0.000
Pu2 0.000 0.223 0.469
C1 0.000 0.500 0.807
# DOS(E_F)   22.0 states/eV/cell
# Excess energy over the best structure of this formula in the dataset   0.0000 eV per atom
# Total moment   11.8 μB/cell
# Formation energy   0.27 eV per atom
# E_tot   -12.7815 eV per atom


Entry 17:
# La6CoS2Cl3 (PBE, optimized geometry)
data_La6CoS2Cl3
_chemical_formula_sum 'La12 Co2 S4 Cl6'
_space_group_name_H-M_alt 'C 1 2/m 1'
_space_group_IT_number 12
_space_group_name_Hall '-C 2y'
_cell_length_a 7.263
_cell_length_b 12.467
_cell_length_c 7.307
_cell_angle_alpha 90.00
_cell_angle_beta 110.00
_cell_angle_gamma 90.00
loop_
_atom_site_label
_atom_site_fract_x
_atom_site_fract_y
_atom_site_fract_z
La1 0.235 0.159 0.223
La2 0.248 0.500 0.235
Co1 0.000 0.000 0.000
S1 0.000 0.333 0.000
Cl1 0.000 0.174 0.500
Cl2 0.000 0.500 0.500
# DOS(E_F)   17.3 states/eV/cell
# E_form (uncorrected)   -1548 meV/atom
# Total moment   0.0 μB/cell
# E_tot   -5.7530 eV per atom